# 1
The following is a DFT calculation (PBE-GGA) of an optimized crystal structure of Al2V2Sn.

Lattice parameters (Å, degrees): 6.967 6.967 3.290 90.00 90.00 90.00
Fractional coordinates of all 10 atoms:
V (0.172, 0.672, 0.500)
V (0.672, 0.828, 0.500)
V (0.828, 0.328, 0.500)
V (0.328, 0.172, 0.500)
Al (0.875, 0.625, 0.000)
Al (0.625, 0.125, 0.000)
Al (0.375, 0.875, 0.000)
Al (0.125, 0.375, 0.000)
Sn (0.000, 0.000, 0.000)
Sn (0.500, 0.500, 0.000)

Total magnetization   1.21 μB per cell
Symmetry   P4/mbm (127)

---

# 2
The following is a DFT calculation (PBE-GGA) of an optimized crystal structure of AlV4Sn.

Lattice parameters (Å, degrees): 4.503 4.529 4.995 63.00 90.00 90.00
Fractional coordinates of all 6 atoms:
V (0.501, 0.685, 0.130)
V (0.501, 0.319, 0.861)
V (0.001, 0.194, 0.111)
V (0.001, 0.810, 0.880)
Al (0.001, 0.502, 0.495)
Sn (0.501, 0.002, 0.495)

Total magnetization   0.00 μB per cell
Symmetry   Cmmm (65)

---

no.,formation energy from the elements (eV/atom),N(E_F) (states/eV per cell)
1,0.13,11.80
2,-0.15,4.45